Compound: AgPRu2
Source: Alexandria via LeMat-Bulk
Functional: SCAN
Structure: single point on PBEsol structure

Cell: 2.8669 4.7758 8.3038 Å, 90.00 90.00 90.00°
Space group Cmmm (No. 65)
Asymmetric unit:
Ag 0.0000 0.0000 0.0000 [2 per cell]
P 0.0000 0.0000 0.5000 [2 per cell]
Ru 0.0000 0.5000 0.2917 [4 per cell]

Its crystal system is orthorhombic. Its offset from the most stable computed form is 0.2283 eV per atom. For the total energy, the calculation gives -27.68 eV per atom.